DFT (PBE+U) results for a relaxed structure of GaNiTeO2.

CIF file:
```
data_GaNiTeO2
_cell_length_a 3.974
_cell_length_b 3.974
_cell_length_c 5.653
_cell_angle_alpha 90.00
_cell_angle_beta 90.00
_cell_angle_gamma 90.00
_space_group_name_H-M_alt 'P 4/m m m'
_space_group_IT_number 123
_space_group_name_Hall '-P 4 2'
loop_
_atom_site_label
_atom_site_type_symbol
_atom_site_fract_x
_atom_site_fract_y
_atom_site_fract_z
_atom_site_occupancy
Ga1 Ga 0.000 0.000 0.000 1
Ni1 Ni 0.500 0.500 0.000 1
Te1 Te 0.000 0.000 0.500 1
O1 O 0.000 0.500 0.500 1
```

Results
D(E_F)	0.301	states/eV per atom
raw total energy	-3.68	eV per atom